Arrangement one

Er2Tm8Zr: optimized geometry, PBE.

Values from the calculation:
space-group type: C2/m, No. 12

Lattice parameters (Å, degrees): 6.488 9.839 9.839 37.76 61.45 61.45
Fractional positions:
Tm: 0.769 0.176 0.664
Tm: 0.849 0.246 0.246
Tm: 0.729 0.593 0.593
Tm: 0.231 0.336 0.824
Tm: 0.231 0.824 0.336
Tm: 0.769 0.664 0.176
Tm: 0.151 0.754 0.754
Tm: 0.271 0.407 0.407
Er: 0.546 0.814 0.814
Er: 0.454 0.186 0.186
Zr: 0.000 0.000 0.000

Arrangement two

Er2Tm8Zr: optimized geometry, PBE.

Values from the calculation:
space-group type: C2/m, No. 12

Lattice parameters (Å, degrees): 4.880 7.752 9.159 104.70 105.45 90.00
Fractional positions:
Tm: 0.044 0.737 0.089
Tm: 0.411 0.555 0.822
Tm: 0.868 0.824 0.736
Tm: 0.589 0.445 0.178
Tm: 0.679 0.910 0.358
Tm: 0.321 0.090 0.642
Tm: 0.132 0.176 0.264
Tm: 0.956 0.263 0.911
Er: 0.774 0.365 0.547
Er: 0.226 0.635 0.453
Zr: 0.500 0.000 0.000

Most stable to least stable, the ends of the list are arrangement two and arrangement one.

Arrangement one

Er3Tm6Zr: optimized geometry, PBE.

Values from the calculation:
space-group type: Cmc2_1, No. 36

Lattice parameters (Å, degrees): 6.032 10.717 10.717 119.65 90.00 90.00
Fractional positions:
Tm: 0.875 0.957 0.541
Tm: 0.875 0.459 0.043
Tm: 0.421 0.948 0.052
Tm: 0.375 0.541 0.957
Tm: 0.148 0.725 0.275
Tm: 0.532 0.618 0.706
Tm: 0.648 0.275 0.725
Tm: 0.375 0.043 0.459
Tm: 0.532 0.294 0.382
Tm: 0.921 0.052 0.948
Tm: 0.032 0.706 0.618
Tm: 0.032 0.382 0.294
Er: 0.943 0.057 0.281
Er: 0.943 0.719 0.943
Er: 0.443 0.943 0.719
Er: 0.564 0.613 0.387
Er: 0.064 0.387 0.613
Er: 0.443 0.281 0.057
Zr: 0.654 0.790 0.210
Zr: 0.154 0.210 0.790

Arrangement two

Er3Tm6Zr: optimized geometry, PBE.

Values from the calculation:
space-group type: R3, No. 146

Lattice parameters (Å, degrees): 9.616 9.616 6.745 44.54 44.54 60.00
Site moments in Bohr magnetons follow the coordinates.
Fractional positions:
Er: 0.351 0.351 0.948  0.14
Er: 0.097 0.097 0.710  0.33
Er: 0.604 0.604 0.187  0.33
Tm: 0.092 0.449 0.697  0.25
Tm: 0.449 0.762 0.697  0.25
Tm: 0.762 0.092 0.697  0.25
Tm: 0.250 0.937 0.205  0.25
Tm: 0.607 0.250 0.205  0.25
Tm: 0.937 0.607 0.205  0.25
Zr: 0.850 0.850 0.449  1.00

Most stable to least stable, the ends of the list are arrangement one and arrangement two.

Arrangement one

ErTm6Zr: optimized geometry, PBE.

Values from the calculation:
space-group type: P-1, No. 2

Lattice parameters (Å, degrees): 6.632 6.344 6.859 102.87 58.09 92.54
Fractional positions:
Er: 0.000 0.500 0.000
Tm: 0.083 0.745 0.508
Tm: 0.439 0.224 0.466
Tm: 0.552 0.756 0.009
Tm: 0.448 0.244 0.991
Tm: 0.917 0.255 0.492
Tm: 0.561 0.776 0.534
Zr: 0.000 0.000 0.000

Arrangement two

ErTm6Zr: optimized geometry, PBE.

Values from the calculation:
space-group type: P-1, No. 2

Lattice parameters (Å, degrees): 6.217 6.214 9.333 70.57 71.27 60.12
Site moments in Bohr magnetons follow the coordinates.
Fractional positions:
Tm: 0.682 0.062 0.816  0.09
Tm: 0.057 0.440 0.813  0.09
Tm: 0.433 0.690 0.814  0.09
Tm: 0.567 0.310 0.186  0.09
Tm: 0.318 0.938 0.184  0.09
Tm: 0.943 0.560 0.187  0.09
Zr: 0.000 0.000 0.000  0.54
Er: 0.500 0.500 0.500  -0.08

Most stable to least stable, the ends of the list are arrangement one and arrangement two.